No. 1
{
  "formula": "Y4NpAs5",
  "functional": "PBE-GGA",
  "state": "optimized geometry",
  "lattice_angstrom": [[-2.059, 2.910, 10.314], [2.059, -2.910, 10.314], [2.059, 2.910, -10.314]],
  "species": ["Y", "Y", "Y", "Y", "Np", "As", "As", "As", "As", "As"],
  "fractional_positions": [[0.101, 0.101, 0.000], [0.299, 0.299, 0.000], [0.701, 0.701, 0.000], [0.899, 0.899, 0.000], [0.500, 0.500, 0.000], [0.000, 0.500, 0.500], [0.200, 0.700, 0.500], [0.402, 0.902, 0.500], [0.598, 0.098, 0.500], [0.800, 0.300, 0.500]],
  "m_tot_mub_per_cell": 3.68,
  "e_form_kj_per_mol_fu": -1329.5,
  "density_g_cm3": 6.499
}

=====

No. 2
{
  "formula": "YNp3As4",
  "functional": "PBE-GGA",
  "state": "optimized geometry",
  "lattice_angstrom": [[5.815, 0.000, 0.000], [0.000, 5.815, 0.000], [0.000, 0.000, 5.815]],
  "species": ["Y", "Np", "Np", "Np", "As", "As", "As", "As"],
  "fractional_positions": [[0.000, 0.000, 0.000], [0.000, 0.500, 0.500], [0.500, 0.000, 0.500], [0.500, 0.500, 0.000], [0.000, 0.000, 0.500], [0.000, 0.500, 0.000], [0.500, 0.000, 0.000], [0.500, 0.500, 0.500]],
  "m_tot_mub_per_cell": 11.76,
  "e_form_kj_per_mol_fu": -696.5,
  "density_g_cm3": 9.287
}

=====

No. 3
{
  "formula": "NpZnAs2",
  "functional": "PBE-GGA",
  "state": "optimized geometry",
  "lattice_angstrom": [[-2.021, 2.021, 9.648], [2.021, -2.021, 9.648], [2.021, 2.021, -9.648]],
  "species": ["Np", "Np", "Zn", "Zn", "As", "As", "As", "As"],
  "fractional_positions": [[0.109, 0.109, 0.000], [0.891, 0.891, 0.000], [0.250, 0.750, 0.500], [0.750, 0.250, 0.500], [0.000, 0.500, 0.500], [0.342, 0.342, 0.000], [0.500, 0.000, 0.500], [0.658, 0.658, 0.000]],
  "m_tot_mub_per_cell": 8.32,
  "e_form_kj_per_mol_fu": -148.1,
  "density_g_cm3": 9.532
}

=====

No. 4
{
  "formula": "Np2ZnAs4",
  "functional": "PBE-GGA",
  "state": "optimized geometry",
  "lattice_angstrom": [[3.928, 0.000, 0.000], [0.000, 3.928, 0.000], [0.000, 0.000, 9.739]],
  "species": ["Np", "Np", "Zn", "As", "As", "As", "As"],
  "fractional_positions": [[0.000, 0.500, 0.235], [0.500, 0.000, 0.765], [0.000, 0.000, 0.500], [0.000, 0.000, 0.000], [0.000, 0.500, 0.666], [0.500, 0.000, 0.334], [0.500, 0.500, 0.000]],
  "m_tot_mub_per_cell": 7.34,
  "e_form_kj_per_mol_fu": -320.7,
  "density_g_cm3": 9.273
}

=====

No. 5
{
  "formula": "NpZnAs2",
  "functional": "PBE-GGA",
  "state": "optimized geometry",
  "lattice_angstrom": [[4.495, 0.000, 0.000], [0.000, 4.495, 0.000], [0.000, 0.000, 3.747]],
  "species": ["Np", "Zn", "As", "As"],
  "fractional_positions": [[0.000, 0.000, 0.000], [0.500, 0.500, 0.000], [0.000, 0.500, 0.500], [0.500, 0.000, 0.500]],
  "m_tot_mub_per_cell": 3.05,
  "e_form_kj_per_mol_fu": -149.8,
  "density_g_cm3": 9.920
}

=====

No. 6
{
  "formula": "NpZnAs",
  "functional": "PBE-GGA",
  "state": "optimized geometry",
  "lattice_angstrom": [[2.831, -2.273, 0.000], [2.831, 2.273, 0.000], [-2.423, 0.000, 8.653]],
  "species": ["Np", "Np", "Zn", "Zn", "As", "As"],
  "fractional_positions": [[0.216, 0.216, 0.060], [0.784, 0.784, 0.940], [0.193, 0.193, 0.722], [0.807, 0.807, 0.278], [0.288, 0.288, 0.397], [0.712, 0.712, 0.603]],
  "m_tot_mub_per_cell": 0.00,
  "e_form_kj_per_mol_fu": 11.3,
  "density_g_cm3": 11.251
}

=====

No. 7
{
  "formula": "NpZnAs2",
  "functional": "PBE-GGA",
  "state": "optimized geometry",
  "lattice_angstrom": [[2.172, 1.254, 7.468], [-2.172, 1.254, 7.468], [0.000, -2.508, 7.468]],
  "species": ["Np", "Zn", "As", "As"],
  "fractional_positions": [[0.000, 0.000, 0.000], [0.500, 0.500, 0.500], [0.396, 0.396, 0.396], [0.604, 0.604, 0.604]],
  "m_tot_mub_per_cell": 3.00,
  "e_form_kj_per_mol_fu": -32.4,
  "density_g_cm3": 6.152
}

=====

No. 8
{
  "formula": "ZrNp2As3",
  "functional": "PBE-GGA",
  "state": "optimized geometry",
  "lattice_angstrom": [[-2.017, 2.017, 8.497], [2.017, -2.017, 8.497], [2.017, 2.017, -8.497]],
  "species": ["Zr", "Np", "Np", "As", "As", "As"],
  "fractional_positions": [[0.000, 0.000, 0.000], [0.334, 0.334, 0.000], [0.666, 0.666, 0.000], [0.163, 0.163, 0.000], [0.500, 0.500, 0.000], [0.837, 0.837, 0.000]],
  "m_tot_mub_per_cell": 7.87,
  "e_form_kj_per_mol_fu": -476.9,
  "density_g_cm3": 9.484
}

=====

No. 9
{
  "formula": "ZrNp4As4",
  "functional": "PBE-GGA",
  "state": "optimized geometry",
  "lattice_angstrom": [[-3.682, 3.682, 4.282], [3.682, -3.682, 4.282], [3.682, 3.682, -4.282]],
  "species": ["Zr", "Np", "Np", "Np", "Np", "As", "As", "As", "As"],
  "fractional_positions": [[0.000, 0.000, 0.000], [0.000, 0.500, 0.500], [0.342, 0.342, 0.000], [0.500, 0.000, 0.500], [0.658, 0.658, 0.000], [0.070, 0.613, 0.000], [0.387, 0.387, 0.458], [0.613, 0.070, 0.000], [0.930, 0.930, 0.542]],
  "m_tot_mub_per_cell": 18.27,
  "e_form_kj_per_mol_fu": -161.1,
  "density_g_cm3": 9.574
}

=====

No. 10
{
  "formula": "Zr5Np3As12",
  "functional": "PBE-GGA",
  "state": "optimized geometry",
  "lattice_angstrom": [[-8.042, 8.042, 8.042], [8.042, -8.042, 8.042], [8.042, 8.042, -8.042]],
  "species": ["Zr", "Zr", "Zr", "Zr", "Zr", "Zr", "Zr", "Zr", "Zr", "Zr", "Zr", "Zr", "Zr", "Zr", "Zr", "Zr", "Zr", "Zr", "Zr", "Zr", "Np", "Np", "Np", "Np", "Np", "Np", "Np", "Np", "Np", "Np", "Np", "Np", "As", "As", "As", "As", "As", "As", "As", "As", "As", "As", "As", "As", "As", "As", "As", "As", "As", "As", "As", "As", "As", "As", "As", "As", "As", "As", "As", "As", "As", "As", "As", "As", "As", "As", "As", "As", "As", "As", "As", "As", "As", "As", "As", "As", "As", "As", "As", "As"],
  "fractional_positions": [[0.000, 0.000, 0.000], [0.000, 0.000, 0.500], [0.000, 0.500, 0.000], [0.000, 0.500, 0.500], [0.125, 0.750, 0.875], [0.125, 0.875, 0.250], [0.250, 0.125, 0.875], [0.250, 0.625, 0.375], [0.375, 0.250, 0.625], [0.375, 0.625, 0.750], [0.500, 0.000, 0.000], [0.500, 0.000, 0.500], [0.500, 0.500, 0.000], [0.500, 0.500, 0.500], [0.625, 0.375, 0.250], [0.625, 0.750, 0.375], [0.750, 0.375, 0.625], [0.750, 0.875, 0.125], [0.875, 0.125, 0.750], [0.875, 0.250, 0.125], [0.125, 0.250, 0.375], [0.125, 0.375, 0.750], [0.250, 0.375, 0.125], [0.250, 0.875, 0.625], [0.375, 0.125, 0.250], [0.375, 0.750, 0.125], [0.625, 0.250, 0.875], [0.625, 0.875, 0.750], [0.750, 0.125, 0.375], [0.750, 0.625, 0.875], [0.875, 0.625, 0.250], [0.875, 0.750, 0.625], [0.053, 0.228, 0.133], [0.053, 0.325, 0.921], [0.079, 0.633, 0.405], [0.079, 0.947, 0.675], [0.095, 0.728, 0.675], [0.095, 0.867, 0.421], [0.133, 0.053, 0.228], [0.133, 0.579, 0.905], [0.175, 0.228, 0.595], [0.175, 0.447, 0.579], [0.228, 0.133, 0.053], [0.228, 0.595, 0.175], [0.272, 0.325, 0.905], [0.272, 0.447, 0.367], [0.325, 0.905, 0.272], [0.325, 0.921, 0.053], [0.367, 0.272, 0.447], [0.367, 0.595, 0.921], [0.405, 0.079, 0.633], [0.405, 0.825, 0.772], [0.421, 0.095, 0.867], [0.421, 0.825, 0.553], [0.447, 0.367, 0.272], [0.447, 0.579, 0.175], [0.553, 0.421, 0.825], [0.553, 0.633, 0.728], [0.579, 0.175, 0.447], [0.579, 0.905, 0.133], [0.595, 0.175, 0.228], [0.595, 0.921, 0.367], [0.633, 0.405, 0.079], [0.633, 0.728, 0.553], [0.675, 0.079, 0.947], [0.675, 0.095, 0.728], [0.728, 0.553, 0.633], [0.728, 0.675, 0.095], [0.772, 0.405, 0.825], [0.772, 0.867, 0.947], [0.825, 0.553, 0.421], [0.825, 0.772, 0.405], [0.867, 0.421, 0.095], [0.867, 0.947, 0.772], [0.905, 0.133, 0.579], [0.905, 0.272, 0.325], [0.921, 0.053, 0.325], [0.921, 0.367, 0.595], [0.947, 0.675, 0.079], [0.947, 0.772, 0.867]],
  "m_tot_mub_per_cell": 34.07,
  "e_form_kj_per_mol_fu": -622.6,
  "density_g_cm3": 6.595
}

=====

No. 11
{
  "formula": "ZrNp5As6",
  "functional": "PBE-GGA",
  "state": "optimized geometry",
  "lattice_angstrom": [[3.520, -6.096, 0.000], [3.520, 6.096, 0.000], [-2.347, 0.000, 6.633]],
  "species": ["Zr", "Np", "Np", "Np", "Np", "Np", "As", "As", "As", "As", "As", "As"],
  "fractional_positions": [[0.000, 0.000, 0.000], [0.169, 0.831, 0.500], [0.334, 0.666, 0.000], [0.500, 0.500, 0.500], [0.666, 0.334, 0.000], [0.831, 0.169, 0.500], [0.080, 0.406, 0.243], [0.242, 0.242, 0.752], [0.406, 0.080, 0.243], [0.594, 0.920, 0.757], [0.758, 0.758, 0.248], [0.920, 0.594, 0.757]],
  "m_tot_mub_per_cell": 19.42,
  "e_form_kj_per_mol_fu": -891.9,
  "density_g_cm3": 10.066
}

=====

No. 12
{
  "formula": "Zr2NpAs4",
  "functional": "PBE-GGA",
  "state": "optimized geometry",
  "lattice_angstrom": [[1.944, -6.314, 0.000], [1.944, 6.314, 0.000], [0.000, 0.000, 12.869]],
  "species": ["Zr", "Zr", "Zr", "Zr", "Np", "Np", "As", "As", "As", "As", "As", "As", "As", "As"],
  "fractional_positions": [[0.135, 0.865, 0.558], [0.135, 0.865, 0.942], [0.865, 0.135, 0.058], [0.865, 0.135, 0.442], [0.391, 0.609, 0.750], [0.609, 0.391, 0.250], [0.055, 0.945, 0.750], [0.232, 0.768, 0.133], [0.232, 0.768, 0.367], [0.500, 0.500, 0.000], [0.500, 0.500, 0.500], [0.768, 0.232, 0.633], [0.768, 0.232, 0.867], [0.945, 0.055, 0.250]],
  "m_tot_mub_per_cell": 6.06,
  "e_form_kj_per_mol_fu": -517.5,
  "density_g_cm3": 7.561
}

=====

No. 13
{
  "formula": "Zr2NpAs3",
  "functional": "PBE-GGA",
  "state": "optimized geometry",
  "lattice_angstrom": [[2.794, -8.373, 0.000], [2.794, 8.373, 0.000], [0.000, 0.000, 5.564]],
  "species": ["Zr", "Zr", "Zr", "Zr", "Np", "Np", "As", "As", "As", "As", "As", "As"],
  "fractional_positions": [[0.000, 0.000, 0.000], [0.164, 0.836, 0.500], [0.500, 0.500, 0.500], [0.836, 0.164, 0.500], [0.332, 0.668, 0.000], [0.668, 0.332, 0.000], [0.000, 0.000, 0.500], [0.163, 0.837, 0.000], [0.334, 0.666, 0.500], [0.500, 0.500, 0.000], [0.666, 0.334, 0.500], [0.837, 0.163, 0.000]],
  "m_tot_mub_per_cell": 7.97,
  "e_form_kj_per_mol_fu": -559.3,
  "density_g_cm3": 8.220
}

=====

No. 14
{
  "formula": "Zr3NpAs4",
  "functional": "PBE-GGA",
  "state": "optimized geometry",
  "lattice_angstrom": [[6.781, 0.000, 0.000], [0.000, 7.843, 0.000], [-2.273, 0.000, 6.426]],
  "species": ["Zr", "Zr", "Zr", "Zr", "Zr", "Zr", "Np", "Np", "As", "As", "As", "As", "As", "As", "As", "As"],
  "fractional_positions": [[0.000, 0.121, 0.250], [0.000, 0.370, 0.750], [0.000, 0.630, 0.250], [0.000, 0.879, 0.750], [0.500, 0.124, 0.750], [0.500, 0.876, 0.250], [0.500, 0.374, 0.250], [0.500, 0.626, 0.750], [0.243, 0.372, 0.499], [0.243, 0.628, 0.999], [0.247, 0.122, 0.999], [0.247, 0.878, 0.499], [0.753, 0.122, 0.501], [0.753, 0.878, 0.001], [0.757, 0.372, 0.001], [0.757, 0.628, 0.501]],
  "m_tot_mub_per_cell": 7.69,
  "e_form_kj_per_mol_fu": -789.5,
  "density_g_cm3": 7.875
}

=====

No. 15
{
  "formula": "As2O3",
  "functional": "PBE-GGA",
  "state": "optimized geometry",
  "lattice_angstrom": [[2.768, 1.598, 4.912], [-2.768, 1.598, 4.912], [0.000, -3.196, 4.912]],
  "species": ["As", "As", "As", "As", "O", "O", "O", "O", "O", "O"],
  "fractional_positions": [[0.000, 0.000, 0.000], [0.250, 0.250, 0.250], [0.500, 0.500, 0.500], [0.750, 0.750, 0.750], [0.111, 0.750, 0.389], [0.250, 0.611, 0.889], [0.389, 0.111, 0.750], [0.611, 0.889, 0.250], [0.750, 0.389, 0.111], [0.889, 0.250, 0.611]],
  "formation_energy_uncorrected_mev_per_atom": -603.5,
  "m_tot_mub_per_cell": 0.00,
  "density_g_cm3": 5.041
}

=====

No. 16
{
  "formula": "As2O3",
  "functional": "PBE-GGA",
  "state": "optimized geometry",
  "lattice_angstrom": [[3.507, 0.000, 0.000], [-1.754, 3.037, 0.000], [0.000, 0.000, 12.581]],
  "species": ["As", "As", "As", "As", "O", "O", "O", "O", "O", "O"],
  "fractional_positions": [[0.000, 0.000, 0.000], [0.000, 0.000, 0.500], [0.333, 0.667, 0.250], [0.667, 0.333, 0.750], [0.000, 0.000, 0.250], [0.000, 0.000, 0.750], [0.333, 0.667, 0.080], [0.333, 0.667, 0.420], [0.667, 0.333, 0.580], [0.667, 0.333, 0.920]],
  "formation_energy_uncorrected_mev_per_atom": -684.1,
  "m_tot_mub_per_cell": 0.00,
  "density_g_cm3": 4.903
}

=====

No. 17
{
  "formula": "AsO",
  "functional": "PBE-GGA",
  "state": "optimized geometry",
  "lattice_angstrom": [[2.830, 0.000, 0.000], [0.000, 7.049, 2.728], [0.000, -7.049, 2.728]],
  "species": ["As", "As", "As", "O", "O", "O"],
  "fractional_positions": [[0.000, 0.000, 0.000], [0.500, 0.248, 0.749], [0.500, 0.749, 0.248], [0.000, 0.158, 0.853], [0.000, 0.853, 0.158], [0.500, 0.786, 0.786]],
  "formation_energy_uncorrected_mev_per_atom": -624.2,
  "m_tot_mub_per_cell": 0.00,
  "e_above_lowest_polymorph_mev_per_atom": 197.6,
  "density_g_cm3": 4.161
}

=====

No. 18
{
  "formula": "AsO",
  "functional": "PBE-GGA",
  "state": "optimized geometry",
  "lattice_angstrom": [[5.631, 0.000, 0.000], [0.000, 6.657, 0.000], [0.000, 0.000, 9.002]],
  "species": ["As", "As", "As", "As", "As", "As", "As", "As", "O", "O", "O", "O", "O", "O", "O", "O"],
  "fractional_positions": [[0.049, 0.058, 0.089], [0.087, 0.050, 0.435], [0.413, 0.950, 0.935], [0.451, 0.942, 0.589], [0.549, 0.442, 0.911], [0.587, 0.450, 0.565], [0.913, 0.550, 0.065], [0.951, 0.558, 0.411], [0.107, 0.329, 0.063], [0.238, 0.020, 0.256], [0.262, 0.980, 0.756], [0.393, 0.671, 0.563], [0.607, 0.171, 0.937], [0.738, 0.480, 0.744], [0.762, 0.520, 0.244], [0.893, 0.829, 0.437]],
  "formation_energy_uncorrected_mev_per_atom": -821.8,
  "m_tot_mub_per_cell": 0.00,
  "e_above_lowest_polymorph_mev_per_atom": 0.0,
  "density_g_cm3": 3.580
}

=====

No. 19
{
  "formula": "As2O3",
  "functional": "PBE-GGA",
  "state": "optimized geometry",
  "lattice_angstrom": [[3.988, 0.000, 0.000], [0.000, 3.988, 0.000], [0.000, 0.000, 4.666]],
  "species": ["As", "As", "O", "O", "O"],
  "fractional_positions": [[0.000, 0.000, 0.000], [0.500, 0.500, 0.334], [0.000, 0.000, 0.637], [0.000, 0.500, 0.145], [0.500, 0.000, 0.145]],
  "formation_energy_uncorrected_mev_per_atom": -594.9,
  "m_tot_mub_per_cell": 0.00,
  "density_g_cm3": 4.427
}